No. 1
Material: ZrBr2
Method: DFT, GGA-PBE
State: optimized geometry Values from VASP.

Uncorrected energy   -15.526 eV/f.u.
Magnetization   0.35 μB per formula unit
E_form (uncorrected)   -350 kJ/mol of formula units
Density of states at the Fermi level   1.33 states/eV/f.u.

Quantum ESPRESSO input file:
```
&SYSTEM
  ibrav = 0, nat = 18, ntyp = 2
/
ATOMIC_SPECIES
Br 79.90 Br.upf
Zr 91.22 Zr.upf
ATOMIC_POSITIONS angstrom
Br -1.5681 4.9683 5.8199
Br 3.5823 -0.5493 6.9196
Br 5.2097 5.3292 2.3397
Br 5.1622 -0.1183 1.6824
Br 0.0118 5.3993 0.5828
Br -1.6156 -0.4792 5.1627
Br 2.5504 2.5472 1.0677
Br -0.8112 2.4190 2.7610
Br 1.6947 -0.3324 3.3392
Br 1.0437 2.3028 6.4347
Br 4.4053 2.4311 4.7414
Br 1.8994 5.1824 4.1632
Zr 2.1474 -0.0856 0.7116
Zr 0.0294 2.2535 0.2141
Zr -0.7068 -0.1843 2.1428
Zr 1.4467 4.9356 6.7907
Zr 3.5646 2.5965 7.2882
Zr 4.3009 5.0343 5.3595
CELL_PARAMETERS angstrom
8.6085 -0.0019 -0.0029
-2.5072 8.2353 -0.0029
-2.5072 -3.3834 7.5082
```



No. 2
Material: K4ZrOs
Method: DFT, GGA-PBE
State: optimized geometry Values from VASP.

Uncorrected energy   -14.336 eV/f.u.
Magnetization   1.57 μB per formula unit
Formation enthalpy at 0 K   1.639 eV/atom
Density of states at the Fermi level   6.85 states/eV/f.u.

Quantum ESPRESSO input file:
```
&SYSTEM
  ibrav = 0, nat = 6, ntyp = 3
/
ATOMIC_SPECIES
K 39.10 K.upf
Zr 91.22 Zr.upf
Os 190.23 Os.upf
ATOMIC_POSITIONS angstrom
K 3.4937 5.7764 5.7764
K 5.7764 5.7764 3.4937
K 5.7764 3.4937 5.7764
K 3.4937 3.4937 3.4937
Zr 0.0000 0.0000 0.0000
Os 6.9526 6.9526 6.9526
CELL_PARAMETERS angstrom
0.0000 4.6351 4.6351
4.6351 0.0000 4.6351
4.6351 4.6351 0.0000
```



No. 3
Material: PaInS3
Method: DFT, GGA-PBE
State: optimized geometry Values from VASP.

Uncorrected energy   -30.155 eV/f.u.
Magnetization   0.00 μB per formula unit
E_form (uncorrected)   -534 kJ/mol of formula units
Distance to the lowest polymorph of the same formula   5 meV/atom

Quantum ESPRESSO input file:
```
&SYSTEM
  ibrav = 0, nat = 10, ntyp = 3
/
ATOMIC_SPECIES
Pa 231.04 Pa.upf
In 114.82 In.upf
S 32.06 S.upf
ATOMIC_POSITIONS angstrom
Pa -8.8446 5.7709 0.1852
Pa -8.1367 -0.5983 -1.0713
In -4.4942 3.5322 0.2202
In -12.4871 1.6404 -1.1063
S -9.5517 0.4804 0.8690
S -9.1451 1.2257 -2.6797
S -6.2268 1.1184 -0.4919
S -10.7537 4.0555 -0.4006
S -7.8423 3.9457 1.7961
S -7.4243 4.6920 -1.7511
CELL_PARAMETERS angstrom
-5.6924 0.2120 -4.2812
-6.4976 -1.2444 2.6476
-4.7912 6.2050 0.7475
```



No. 4
Material: La2Pm9Sm
Method: DFT, GGA-PBE
State: optimized geometry Values from VASP.

Uncorrected energy   -57.130 eV/f.u.
Magnetization   0.00 μB per formula unit
Formation enthalpy at 0 K   0.017 eV/atom
Distance to the lowest polymorph of the same formula   0 meV/atom
Density of states at the Fermi level   20.63 states/eV/f.u.

Quantum ESPRESSO input file:
```
&SYSTEM
  ibrav = 0, nat = 12, ntyp = 3
/
ATOMIC_SPECIES
La 138.91 La.upf
Pm 145.00 Pm.upf
Sm 150.36 Sm.upf
ATOMIC_POSITIONS angstrom
La 0.0000 0.0000 5.1813
La 0.0000 0.0000 10.3743
Pm 2.5911 2.5911 0.0000
Pm 2.5911 2.5911 5.1654
Pm 2.5911 2.5911 10.3902
Pm 2.5911 0.0000 2.5617
Pm 2.5911 0.0000 7.7778
Pm 2.5911 0.0000 12.9939
Pm 0.0000 2.5911 2.5617
Pm 0.0000 2.5911 7.7778
Pm 0.0000 2.5911 12.9939
Sm 0.0000 0.0000 0.0000
CELL_PARAMETERS angstrom
5.1822 0.0000 0.0000
0.0000 5.1822 0.0000
0.0000 0.0000 15.5556
```



No. 5
Material: Ta3SCl
Method: DFT, GGA-PBE
State: optimized geometry Values from VASP.

Uncorrected energy   -37.449 eV/f.u.
Magnetization   0.00 μB per formula unit
E_form (uncorrected)   394 kJ/mol of formula units
Distance to the lowest polymorph of the same formula   0 meV/atom
Density of states at the Fermi level   2.03 states/eV/f.u.

Quantum ESPRESSO input file:
```
&SYSTEM
  ibrav = 0, nat = 5, ntyp = 3
/
ATOMIC_SPECIES
S 32.06 S.upf
Cl 35.45 Cl.upf
Ta 180.95 Ta.upf
ATOMIC_POSITIONS angstrom
S 0.0000 0.0000 0.0000
Cl -2.0964 -3.2333 1.0604
Ta 0.3046 -2.1232 -0.8506
Ta -0.1167 -0.8715 2.1334
Ta -2.2843 -0.2386 -0.2224
CELL_PARAMETERS angstrom
-4.5686 -0.4773 -0.4448
0.6092 -4.2465 -1.7013
-0.2334 -1.7429 4.2668
```



No. 6
Material: TbScP
Method: DFT, GGA-PBE
State: optimized geometry Values from VASP.

Uncorrected energy   -19.124 eV/f.u.
Magnetization   0.03 μB per formula unit
Formation enthalpy at 0 K   -0.917 eV/atom
Distance to the lowest polymorph of the same formula   0 meV/atom
Density of states at the Fermi level   3.38 states/eV/f.u.

Quantum ESPRESSO input file:
```
&SYSTEM
  ibrav = 0, nat = 3, ntyp = 3
/
ATOMIC_SPECIES
Sc 44.96 Sc.upf
P 30.97 P.upf
Tb 158.93 Tb.upf
ATOMIC_POSITIONS angstrom
Sc -2.7616 -1.2237 2.8279
P -2.9876 -0.5579 0.3356
Tb -0.3128 0.1167 0.3122
CELL_PARAMETERS angstrom
-2.6981 -0.0844 -2.6714
0.8084 -3.1370 1.9821
-4.1724 1.5564 4.1650
```



No. 7
Material: Zn2CO
Method: DFT, GGA-PBE
State: optimized geometry Values from VASP.

Uncorrected energy   -13.335 eV/f.u.
Magnetization   2.00 μB per formula unit
E_form (uncorrected)   328 kJ/mol of formula units
Distance to the lowest polymorph of the same formula   651 meV/atom
Density of states at the Fermi level   0.65 states/eV/f.u.

Quantum ESPRESSO input file:
```
&SYSTEM
  ibrav = 0, nat = 4, ntyp = 3
/
ATOMIC_SPECIES
Zn 65.41 Zn.upf
C 12.01 C.upf
O 16.00 O.upf
ATOMIC_POSITIONS angstrom
Zn 1.2309 0.2049 2.0407
Zn 3.6928 0.6147 6.1220
C 0.0000 0.0000 0.0000
O 2.4619 0.4098 4.0813
CELL_PARAMETERS angstrom
3.5723 0.0404 1.5795
0.7630 2.3249 3.0446
0.5885 -1.5458 3.5386
```



No. 8
Material: KZn3As
Method: DFT, GGA-PBE
State: optimized geometry Values from VASP.

Uncorrected energy   -8.401 eV/f.u.
Magnetization   0.00 μB per formula unit
Formation enthalpy at 0 K   0.234 eV/atom
Distance to the lowest polymorph of the same formula   0 meV/atom
Density of states at the Fermi level   2.63 states/eV/f.u.

Quantum ESPRESSO input file:
```
&SYSTEM
  ibrav = 0, nat = 5, ntyp = 3
/
ATOMIC_SPECIES
K 39.10 K.upf
As 74.92 As.upf
Zn 65.41 Zn.upf
ATOMIC_POSITIONS angstrom
K 2.5888 2.5888 2.5888
As 0.0000 0.0000 0.0000
Zn 0.0000 2.5888 0.0000
Zn 0.0000 0.0000 2.5888
Zn 2.5888 0.0000 0.0000
CELL_PARAMETERS angstrom
5.1776 0.0000 0.0000
0.0000 5.1776 0.0000
0.0000 0.0000 5.1776
```



No. 9
Material: CsLaSi2O6
Method: DFT, GGA-PBE
State: optimized geometry Values from VASP.

Uncorrected energy   -74.624 eV/f.u.
Magnetization   0.00 μB per formula unit
E_form (uncorrected)   -2725 kJ/mol of formula units
Density of states at the Fermi level   0.00 states/eV/f.u.

Quantum ESPRESSO input file:
```
&SYSTEM
  ibrav = 0, nat = 20, ntyp = 4
/
ATOMIC_SPECIES
Cs 132.91 Cs.upf
La 138.91 La.upf
Si 28.09 Si.upf
O 16.00 O.upf
ATOMIC_POSITIONS angstrom
Cs 0.6071 5.9525 2.2271
Cs 5.2365 0.6563 4.8399
La 4.2249 2.7536 2.2271
La 1.6187 3.8552 4.8399
Si 1.2624 0.1731 4.6049
Si 5.2295 4.6597 5.0749
Si 4.5812 6.4356 2.4620
Si 0.6141 1.9491 1.9921
O 6.5779 2.8304 2.5776
O 4.4367 0.4089 1.8765
O -0.7343 3.7783 4.4894
O 1.4070 6.1999 5.1904
O 1.2564 1.3330 0.5536
O 5.2714 5.8736 3.9006
O 4.5872 5.2758 6.5134
O 0.5723 0.7352 3.1664
O 1.6992 3.0470 2.5467
O 3.6244 5.2244 1.9074
O 4.1445 3.5618 4.5203
O 2.2192 1.3844 5.1595
CELL_PARAMETERS angstrom
7.4926 0.4656 0.9206
-0.4552 7.4932 0.9206
-1.1937 -1.3500 5.2257
```



No. 10
Material: PaCdGe
Method: DFT, GGA-PBE
State: optimized geometry Values from VASP.

Uncorrected energy   -15.121 eV/f.u.
Magnetization   0.73 μB per formula unit
Formation enthalpy at 0 K   -0.031 eV/atom
Distance to the lowest polymorph of the same formula   0 meV/atom
Density of states at the Fermi level   4.34 states/eV/f.u.

Quantum ESPRESSO input file:
```
&SYSTEM
  ibrav = 0, nat = 3, ntyp = 3
/
ATOMIC_SPECIES
Ge 72.64 Ge.upf
Pa 231.04 Pa.upf
Cd 112.41 Cd.upf
ATOMIC_POSITIONS angstrom
Ge 0.5220 0.0000 0.0000
Pa 2.0971 2.4583 1.4193
Cd 0.5260 0.0000 2.8386
CELL_PARAMETERS angstrom
3.1452 0.0000 0.0000
0.0000 4.9165 0.0000
0.0000 -2.4583 4.2579
```



No. 11
Material: Na2TlNiH6
Method: DFT, GGA-PBE
State: optimized geometry Values from VASP.

Uncorrected energy   -31.585 eV/f.u.
Magnetization   0.00 μB per formula unit
Density of states at the Fermi level   0.74 states/eV/f.u.

Quantum ESPRESSO input file:
```
&SYSTEM
  ibrav = 0, nat = 10, ntyp = 4
/
ATOMIC_SPECIES
Na 22.99 Na.upf
Tl 204.38 Tl.upf
Ni 58.69 Ni.upf
H 1.01 H.upf
ATOMIC_POSITIONS angstrom
Na -1.3461 -2.6427 0.0541
Na -3.5248 -1.9253 -5.1887
Tl -2.6908 0.0989 -2.1351
Ni 0.0000 0.0000 0.0000
H -4.9324 -0.9909 -3.4252
H -6.2483 -2.8224 -1.8517
H -4.6441 -3.6817 -3.9132
H 1.3774 -1.7457 -3.2829
H -0.2268 -0.8863 -1.2214
H 0.0615 -3.5772 -1.7094
CELL_PARAMETERS angstrom
-5.3816 0.1978 -4.2702
2.8413 -1.5220 -3.6513
-2.3307 -3.2439 2.7869
```



No. 12
Material: LaDyHo3
Method: DFT, GGA-PBE
State: optimized geometry Values from VASP.

Uncorrected energy   -23.103 eV/f.u.
Magnetization   0.00 μB per formula unit
Formation enthalpy at 0 K   0.032 eV/atom
Distance to the lowest polymorph of the same formula   0 meV/atom
Density of states at the Fermi level   8.13 states/eV/f.u.

Quantum ESPRESSO input file:
```
&SYSTEM
  ibrav = 0, nat = 10, ntyp = 3
/
ATOMIC_SPECIES
La 138.91 La.upf
Dy 162.50 Dy.upf
Ho 164.93 Ho.upf
ATOMIC_POSITIONS angstrom
La 3.2365 0.7899 2.5548
La 2.8604 2.0598 6.1213
Dy -0.3724 0.7625 1.6979
Dy 6.4693 2.0872 6.9782
Ho 1.6835 -2.2032 1.4415
Ho 4.4134 5.0529 7.2347
Ho -0.7001 2.0329 5.3223
Ho 6.7970 0.8168 3.3538
Ho 5.1135 -2.0503 2.2087
Ho 0.9834 4.9000 6.4674
CELL_PARAMETERS angstrom
-2.2334 -1.7344 2.1379
8.2263 -4.5128 -0.9468
0.1040 9.0970 7.4850
```



- The highest magnetization belongs to which entry?
  Zn2CO